A relaxed Cr2CdCu crystal. Source: the Alexandria database, functional PBE-GGA.

a b c (Å): 2.6742 2.6742 8.6161
angles (deg): 90.00 90.00 112.70
With the nearest neighbours (Å) after each atom.
Atoms (fractional coordinates):
1 Cr 0.0000 0.0000 0.0000  2 Cr 2.25
2 Cr 0.5000 0.5000 0.1968  2 Cr 2.25
3 Cd 0.0000 0.0000 0.4845  6 Cd 2.67-2.96, 2 Cu 2.80, 2 Cr 2.89
4 Cu 0.5000 0.5000 0.7609  2 Cr 2.54, 4 Cu 2.67, 2 Cd 2.80

Output
space-group type: Cmm2 (35)
DOS at the Fermi energy: 2.931 states/eV per cell
ΔE_f: 336 meV/atom

=====

A relaxed Dy14ErTl crystal. Source: the Alexandria database, functional PBE-GGA.

a b c (Å): 9.9921 7.0210 7.0210
angles (deg): 90.00 90.00 90.00
With the nearest neighbours (Å) after each atom.
Atoms (fractional coordinates):
1 Dy 0.0000 0.0000 0.0000  12 Dy 3.51-3.53
2 Dy 0.0000 0.0001 0.4998  12 Dy 3.51-3.54
3 Dy 0.0000 0.4998 0.0001  12 Dy 3.51-3.54
4 Dy 0.0000 0.4999 0.4999  12 Dy 3.51-3.54
5 Dy 0.2522 0.2493 0.2493  1 Er 3.50, 10 Dy 3.50-3.54, 1 Tl 3.51
6 Dy 0.2520 0.2492 0.7505  10 Dy 3.50-3.54, 1 Er 3.50, 1 Tl 3.51
7 Dy 0.2520 0.7505 0.2492  10 Dy 3.50-3.54, 1 Er 3.50, 1 Tl 3.51
8 Dy 0.2517 0.7506 0.7506  10 Dy 3.50-3.54, 1 Er 3.51, 1 Tl 3.52
9 Dy 0.5000 0.5001 0.9991  8 Dy 3.51, 2 Tl 3.51-3.52, 2 Er 3.51
10 Dy 0.5000 0.9991 0.5001  8 Dy 3.51, 2 Tl 3.51-3.52, 2 Er 3.51
11 Dy 0.7478 0.2493 0.2493  1 Er 3.50, 10 Dy 3.50-3.54, 1 Tl 3.51
12 Dy 0.7480 0.2492 0.7505  10 Dy 3.50-3.54, 1 Er 3.50, 1 Tl 3.51
13 Dy 0.7480 0.7505 0.2492  10 Dy 3.50-3.54, 1 Er 3.50, 1 Tl 3.51
14 Dy 0.7483 0.7506 0.7506  10 Dy 3.50-3.54, 1 Er 3.51, 1 Tl 3.52
15 Er 0.5000 0.9999 0.9999  12 Dy 3.50-3.51
16 Tl 0.5000 0.4998 0.4998  12 Dy 3.51-3.52

Output
space-group type: Amm2 (38)
DOS at the Fermi energy: 22.352 states/eV per cell
ΔE_f: -11 meV/atom

=====

A relaxed LaSc2Au3 crystal. Source: the Alexandria database, functional PBE-GGA.

a b c (Å): 3.4796 3.4796 10.8032
angles (deg): 90.00 90.00 90.00
With the nearest neighbours (Å) after each atom.
Atoms (fractional coordinates):
1 La 0.0000 0.0000 0.0000  8 Au 3.31, 4 La 3.48
2 Sc 0.0000 0.0000 0.3445  8 Au 2.88-2.98
3 Sc 0.0000 0.0000 0.6555  8 Au 2.88-2.98
4 Au 0.5000 0.5000 0.2052  4 Sc 2.88, 1 Au 3.19
5 Au 0.5000 0.5000 0.5000  8 Sc 2.98, 2 Au 3.19
6 Au 0.5000 0.5000 0.7948  4 Sc 2.88, 1 Au 3.19

Output
space-group type: P4/mmm (123)
DOS at the Fermi energy: 3.019 states/eV per cell
ΔE_f: -793 meV/atom

=====

A relaxed CdFeIr2 crystal. Source: the Alexandria database, functional PBE-GGA.

a b c (Å): 2.8011 2.8011 7.6428
angles (deg): 90.00 90.00 90.00
With the nearest neighbours (Å) after each atom.
Atoms (fractional coordinates):
1 Cd 0.0000 0.0000 0.0000  4 Cd 2.80, 8 Ir 2.96
2 Fe 0.0000 0.0000 0.5000  8 Ir 2.56, 4 Fe 2.80
3 Ir 0.5000 0.5000 0.2871  4 Fe 2.56, 4 Ir 2.80
4 Ir 0.5000 0.5000 0.7129  4 Fe 2.56, 4 Ir 2.80

Output
space-group type: P4/mmm (123)
DOS at the Fermi energy: 3.377 states/eV per cell
ΔE_f: 73 meV/atom

=====

A relaxed LiCdCl2 crystal. Source: the Alexandria database, functional PBE-GGA.

a b c (Å): 8.2723 8.2723 8.2723
angles (deg): 25.70 25.70 25.70
With the nearest neighbours (Å) after each atom.
Atoms (fractional coordinates):
1 Li 0.0000 0.0000 0.0000  6 Cl 2.55
2 Cd 0.5000 0.5000 0.5000  2 Cl 2.59
3 Cl 0.3919 0.3919 0.3919  3 Li 2.55, 1 Cd 2.59
4 Cl 0.6081 0.6081 0.6081  3 Li 2.55, 1 Cd 2.59

Output
space-group type: R-3m (166)
DOS at the Fermi energy: 0.964 states/eV per cell
final energy: -10.74 eV for the cell shown

=====

A relaxed Hf3Zr crystal. Source: the Alexandria database, functional PBE-GGA.

a b c (Å): 6.0079 6.0079 6.0079
angles (deg): 149.03 64.53 124.93
With the nearest neighbours (Å) after each atom.
Atoms (fractional coordinates):
1 Hf 0.0000 0.0000 0.0000  8 Hf 3.14-3.21, 4 Zr 3.20-3.21
2 Hf 0.4163 0.6674 0.7489  9 Hf 3.14-3.21, 3 Zr 3.14-3.15
3 Hf 0.9185 0.6674 0.2511  9 Hf 3.14-3.21, 3 Zr 3.14-3.15
4 Zr 0.5015 0.0015 0.5000  10 Hf 3.14-3.21, 2 Zr 3.21

Output
space-group type: Imm2 (44)
DOS at the Fermi energy: 2.284 states/eV per cell
ΔE_f: -3 meV/atom

=====

A relaxed NaRe3Ag crystal. Source: the Alexandria database, functional PBE-GGA.

a b c (Å): 4.4814 4.4814 4.4814
angles (deg): 90.00 90.00 90.00
With the nearest neighbours (Å) after each atom.
Atoms (fractional coordinates):
1 Na 0.0000 0.0000 0.0000  6 Re 2.24
2 Re 0.0000 0.0000 0.5000  2 Na 2.24
3 Re 0.0000 0.5000 0.0000  2 Na 2.24
4 Re 0.5000 0.0000 0.0000  2 Na 2.24
5 Ag 0.5000 0.5000 0.5000  12 Re 3.17

Output
space-group type: Pm-3m (221)
DOS at the Fermi energy: 3.969 states/eV per cell
ΔE_f: 3167 meV/atom

=====

A relaxed Pu2HfAl4Au3 crystal. Source: the Alexandria database, functional PBE-GGA.

a b c (Å): 4.2663 4.2663 11.4040
angles (deg): 90.00 90.00 90.00
With the nearest neighbours (Å) after each atom.
Atoms (fractional coordinates):
1 Pu 0.0000 0.5000 0.2494  8 Al 3.21-3.55, 6 Au 3.32-3.57, 2 Hf 3.57
2 Pu 0.5000 0.0000 0.7506  8 Al 3.21-3.55, 6 Au 3.32-3.57, 2 Hf 3.57
3 Hf 0.0000 0.0000 0.5000  4 Al 2.76, 4 Au 3.02
4 Al 0.0000 0.0000 0.0000  4 Au 2.58
5 Al 0.0000 0.5000 0.6534  3 Au 2.50-2.76, 2 Hf 2.76
6 Al 0.5000 0.0000 0.3466  3 Au 2.50-2.76, 2 Hf 2.76
7 Al 0.5000 0.5000 0.0000  4 Au 2.58
8 Au 0.0000 0.5000 0.8722  5 Al 2.50-2.58
9 Au 0.5000 0.0000 0.1278  5 Al 2.50-2.58
10 Au 0.5000 0.5000 0.5000  4 Al 2.76, 4 Hf 3.02

Output
space-group type: P-4m2 (115)
DOS at the Fermi energy: 26.693 states/eV per cell
ΔE_f: -394 meV/atom

=====

A relaxed Pm3Ga9Pt2 crystal. Source: the Alexandria database, functional PBE-GGA.

a b c (Å): 8.3147 8.3147 8.3147
angles (deg): 150.08 105.11 82.68
With the nearest neighbours (Å) after each atom.
Atoms (fractional coordinates):
1 Pm 0.0000 0.0000 0.0000  12 Ga 3.22-3.27, 4 Pt 3.49
2 Pm 0.3222 0.3222 0.0000  10 Ga 3.09-3.18, 2 Pt 3.20
3 Pm 0.6778 0.6778 0.0000  10 Ga 3.09-3.18, 2 Pt 3.20
4 Ga 0.0416 0.6685 0.3731  4 Ga 2.57-2.72, 1 Pt 2.57
5 Ga 0.1484 0.8716 0.2767  4 Ga 2.67-2.77, 2 Pt 2.68
6 Ga 0.2953 0.6685 0.6269  4 Ga 2.57-2.72, 1 Pt 2.57
7 Ga 0.4051 0.1284 0.2767  4 Ga 2.67-2.77, 2 Pt 2.68
8 Ga 0.5000 0.0000 0.5000  4 Ga 2.77, 4 Pm 3.09
9 Ga 0.5949 0.8716 0.7233  4 Ga 2.67-2.77, 2 Pt 2.68
10 Ga 0.7047 0.3315 0.3731  4 Ga 2.57-2.72, 1 Pt 2.57
11 Ga 0.8516 0.1284 0.7233  4 Ga 2.67-2.77, 2 Pt 2.68
12 Ga 0.9584 0.3315 0.6269  4 Ga 2.57-2.72, 1 Pt 2.57
13 Pt 0.2725 0.5000 0.7724  6 Ga 2.57-2.68
14 Pt 0.7276 0.5000 0.2276  6 Ga 2.57-2.68

Output
space-group type: Immm (71)
DOS at the Fermi energy: 5.255 states/eV per cell
ΔE_f: -711 meV/atom

=====

A relaxed TmAsAu crystal. Source: the Alexandria database, functional PBE-GGA.

a b c (Å): 4.2863 4.2863 4.0772
angles (deg): 90.00 90.00 120.00
With the nearest neighbours (Å) after each atom.
Atoms (fractional coordinates):
1 Tm 0.0000 0.0000 0.0000  3 As 2.95, 3 Au 2.96
2 As 0.6667 0.3333 0.6076  3 Au 2.61
3 Au 0.3333 0.6667 0.4004  3 As 2.61

Output
space-group type: P3m1 (156)
DOS at the Fermi energy: 1.465 states/eV per cell
ΔE_f: -808 meV/atom

=====

A relaxed Pm3SbPt crystal. Source: the Alexandria database, functional PBE-GGA.

a b c (Å): 5.5225 5.5225 5.5225
angles (deg): 90.00 90.00 90.00
With the nearest neighbours (Å) after each atom.
Atoms (fractional coordinates):
1 Pm 0.0000 0.0000 0.5000  2 Pt 2.76
2 Pm 0.0000 0.5000 0.0000  2 Pt 2.76
3 Pm 0.5000 0.0000 0.0000  2 Pt 2.76
4 Sb 0.5000 0.5000 0.5000  12 Pm 3.90
5 Pt 0.0000 0.0000 0.0000  6 Pm 2.76

Output
space-group type: Pm-3m (221)
DOS at the Fermi energy: 5.250 states/eV per cell
final energy: -27.34 eV for the cell shown

=====

A relaxed TiTe2AuN crystal. Source: the Alexandria database, functional PBE-GGA.

a b c (Å): 5.5212 5.5212 3.6988
angles (deg): 90.00 90.00 90.00
With the nearest neighbours (Å) after each atom.
Atoms (fractional coordinates):
1 Ti 0.0000 0.0000 0.0000  2 N 1.85
2 Te 0.0000 0.5000 0.0000  2 Ti 2.76
3 Te 0.5000 0.0000 0.0000  2 Ti 2.76
4 Au 0.5000 0.5000 0.5000  8 Te 3.32, 2 Au 3.70
5 N 0.0000 0.0000 0.5000  2 Ti 1.85

Output
space-group type: P4/mmm (123)
DOS at the Fermi energy: 4.685 states/eV per cell
final energy: -25.10 eV for the cell shown